Entry 1:
# PBE LaCe2Th3Se6, relaxed
# - Raw formation energy: -1710 meV/atom
# - Mass density: 8.29 g cm⁻³
data_LaCe2Th3Se6
_chemical_formula_sum 'La2 Ce4 Th6 Se12'
_cell_length_a 7.2882
_cell_length_b 12.5942
_cell_length_c 7.3452
_cell_angle_alpha 90.00
_cell_angle_beta 109.21
_cell_angle_gamma 90.00
_space_group_name_H-M_alt 'C 1 2/m 1'
_space_group_IT_number 12
loop_
_space_group_symop_operation_xyz
'x,y,z'
'-x,-y,-z'
'-x,y,-z'
'x,-y,z'
'x+1/2,y+1/2,z'
'-x+1/2,-y+1/2,-z'
'-x+1/2,y+1/2,-z'
'x+1/2,-y+1/2,z'
loop_
_atom_site_label
_atom_site_type_symbol
_atom_site_fract_x
_atom_site_fract_y
_atom_site_fract_z
La1 La 0.0000 0.0000 0.0000
Ce1 Ce 0.0000 0.3327 0.0000
Th1 Th 0.0000 0.1634 0.5000
Th2 Th 0.0000 0.5000 0.5000
Se1 Se 0.2438 0.5000 0.2464
Se2 Se 0.2472 0.3311 0.7491

---

Entry 2:
# PBE LaCe2ThSe5, relaxed
# - Raw formation energy: -1163 meV/atom
# - Mass density: 5.40 g cm⁻³
data_LaCe2ThSe5
_chemical_formula_sum 'La1 Ce2 Th1 Se5'
_cell_length_a 5.3712
_cell_length_b 5.3712
_cell_length_c 11.1517
_cell_angle_alpha 90.00
_cell_angle_beta 90.00
_cell_angle_gamma 90.00
_space_group_name_H-M_alt 'P 4/m m m'
_space_group_IT_number 123
_space_group_name_Hall '-P 4 2'
loop_
_atom_site_label
_atom_site_type_symbol
_atom_site_fract_x
_atom_site_fract_y
_atom_site_fract_z
La1 La 0.0000 0.0000 0.0000
Ce1 Ce 0.5000 0.5000 0.3224
Th1 Th 0.0000 0.0000 0.5000
Se1 Se 0.0000 0.0000 0.2467
Se2 Se 0.0000 0.5000 0.5000
Se3 Se 0.5000 0.5000 0.0000